1.
Material: MgTe
Method: DFT, GGA-PBE
State: relaxed

Properties
Space group: F-43m, No. 216
DOS at the Fermi energy (states/eV per atom): 0.000
Formation energy from raw total energies (eV/atom): -0.88

a b c (Å): 6.5126 6.5126 6.5126
angles (deg): 90.00 90.00 90.00
With the nearest neighbours (Å) after each atom.
Sites, in units of the cell vectors:
Mg: 0.0000 0.0000 0.0000  4 Te 2.82
Mg: 0.0000 0.5000 0.5000  4 Te 2.82
Mg: 0.5000 0.0000 0.5000  4 Te 2.82
Mg: 0.5000 0.5000 0.0000  4 Te 2.82
Te: 0.2500 0.2500 0.7500  4 Mg 2.82
Te: 0.2500 0.7500 0.2500  4 Mg 2.82
Te: 0.7500 0.2500 0.2500  4 Mg 2.82
Te: 0.7500 0.7500 0.7500  4 Mg 2.82

---

2.
Material: NaTlHg2Br8
Method: DFT, GGA-PBE
State: relaxed

Properties
Space group: P-1, No. 2
Formation energy from raw total energies (eV/atom): -0.62

a b c (Å): 7.1469 7.3263 8.6194
angles (deg): 105.68 90.56 100.51
With the nearest neighbours (Å) after each atom.
Sites, in units of the cell vectors:
Na: 0.0000 0.0000 0.0000  6 Br 3.00-3.11
Tl: 0.0000 0.0000 0.5000  4 Br 2.63-2.91
Hg: 0.4632 0.6965 0.1998  3 Br 2.58-2.69
Hg: 0.5368 0.3035 0.8002  3 Br 2.58-2.69
Br: 0.0974 0.7385 0.1965  1 Hg 2.69, 1 Tl 2.97
Br: 0.1274 0.8025 0.6779  1 Tl 2.63
Br: 0.3698 0.2522 0.5204  1 Hg 2.58
Br: 0.3994 0.2689 0.0742  1 Hg 2.62
Br: 0.6006 0.7311 0.9258  1 Hg 2.62
Br: 0.6302 0.7478 0.4796  1 Hg 2.58
Br: 0.8726 0.1975 0.3221  1 Tl 2.63
Br: 0.9026 0.2615 0.8035  1 Hg 2.69, 1 Tl 2.97

---

3.
Material: Ce2SmIn
Method: DFT, GGA-PBE
State: relaxed

Properties
Space group: P4/mmm, No. 123
Offset from the most stable computed form (eV per atom): 0.127
DOS at the Fermi energy (states/eV per atom): 2.631
Energy of formation (meV/atom): -85

a b c (Å): 3.3713 3.3713 10.2818
angles (deg): 90.00 90.00 90.00
With the nearest neighbours (Å) after each atom.
Sites, in units of the cell vectors:
Ce: 0.0000 0.0000 0.2320  4 Ce 3.37, 4 In 3.37, 4 Sm 3.64
Ce: 0.0000 0.0000 0.7680  4 Ce 3.37, 4 In 3.37, 4 Sm 3.64
Sm: 0.5000 0.5000 0.5000  4 Sm 3.37, 8 Ce 3.64
In: 0.5000 0.5000 0.0000  4 In 3.37, 8 Ce 3.37

---

4.
Material: Tl4InCl7
Method: DFT, GGA-PBE
State: relaxed

Properties
Space group: C2/m, No. 12
Formation energy from raw total energies (eV/atom): -0.90

a b c (Å): 9.2975 9.2975 12.4081
angles (deg): 128.95 128.95 32.10
With the nearest neighbours (Å) after each atom.
Sites, in units of the cell vectors:
Tl: 0.1166 0.1166 0.2708  5 Cl 3.13-3.49
Tl: 0.2588 0.2588 0.8792  3 Cl 2.93-3.03
Tl: 0.7412 0.7412 0.1208  3 Cl 2.93-3.03
Tl: 0.8834 0.8834 0.7292  5 Cl 3.13-3.49
In: 0.5000 0.5000 0.5000  4 Cl 2.33-2.57
Cl: 0.0000 0.0000 0.5000  2 In 2.57
Cl: 0.1234 0.1234 0.0247  4 Tl 3.03-3.36
Cl: 0.2536 0.2536 0.6380  3 Tl 2.93-3.14
Cl: 0.4481 0.4481 0.2718  1 In 2.33
Cl: 0.5519 0.5519 0.7282  1 In 2.33
Cl: 0.7464 0.7464 0.3620  3 Tl 2.93-3.14
Cl: 0.8766 0.8766 0.9753  4 Tl 3.03-3.36

---

5.
Material: Ce5Hg2Au
Method: DFT, GGA-PBE
State: relaxed

Properties
Space group: Cmcm, No. 63
DOS at the Fermi energy (states/eV per atom): 2.597
Energy of formation (meV/atom): -235

a b c (Å): 6.0024 6.0024 17.7062
angles (deg): 90.00 90.00 139.48
With the nearest neighbours (Å) after each atom.
Sites, in units of the cell vectors:
Ce: 0.0363 0.9637 0.7500  3 Au 3.07-3.36, 4 Hg 3.32
Ce: 0.1384 0.8616 0.5126  2 Ce 2.77
Ce: 0.1384 0.8616 0.9874  2 Ce 2.77
Ce: 0.4197 0.5803 0.5839  2 Ce 2.77, 1 Au 3.09
Ce: 0.4197 0.5803 0.9161  2 Ce 2.77, 1 Au 3.09
Ce: 0.5803 0.4197 0.0839  2 Ce 2.77, 1 Au 3.09
Ce: 0.5803 0.4197 0.4161  2 Ce 2.77, 1 Au 3.09
Ce: 0.8616 0.1384 0.0126  2 Ce 2.77
Ce: 0.8616 0.1384 0.4874  2 Ce 2.77
Ce: 0.9637 0.0363 0.2500  3 Au 3.07-3.36, 4 Hg 3.32
Hg: 0.2942 0.7058 0.1515  2 Au 3.08, 8 Ce 3.31-3.44
Hg: 0.2942 0.7058 0.3485  2 Au 3.08, 8 Ce 3.31-3.44
Hg: 0.7058 0.2942 0.6515  2 Au 3.08, 8 Ce 3.31-3.44
Hg: 0.7058 0.2942 0.8485  2 Au 3.08, 8 Ce 3.31-3.44
Au: 0.3351 0.6649 0.7500  5 Ce 3.07-3.36, 4 Hg 3.08
Au: 0.6649 0.3351 0.2500  5 Ce 3.07-3.36, 4 Hg 3.08

---

6.
Material: CsReRh3
Method: DFT, GGA-PBE
State: relaxed

Properties
Space group: Pm-3m, No. 221
Offset from the most stable computed form (eV per atom): 0.000
DOS at the Fermi energy (states/eV per atom): 0.651
Energy of formation (meV/atom): 977

a b c (Å): 4.8642 4.8642 4.8642
angles (deg): 90.00 90.00 90.00
With the nearest neighbours (Å) after each atom.
Sites, in units of the cell vectors:
Cs: 0.0000 0.0000 0.0000  12 Rh 3.44
Re: 0.5000 0.5000 0.5000  6 Rh 2.43
Rh: 0.0000 0.5000 0.5000  2 Re 2.43
Rh: 0.5000 0.0000 0.5000  2 Re 2.43
Rh: 0.5000 0.5000 0.0000  2 Re 2.43

---

7.
Material: MgNpGa2Pt4
Method: DFT, GGA-PBE
State: relaxed

Properties
Space group: R-3m, No. 166
DOS at the Fermi energy (states/eV per atom): 1.531
Energy of formation (meV/atom): -650

a b c (Å): 8.8701 8.8701 8.8701
angles (deg): 28.33 28.33 28.33
With the nearest neighbours (Å) after each atom.
Sites, in units of the cell vectors:
Mg: 0.0000 0.0000 0.0000  8 Pt 2.65-2.67
Np: 0.5000 0.5000 0.5000  6 Pt 2.97
Ga: 0.2579 0.2579 0.2579  7 Pt 2.61-2.83
Ga: 0.7421 0.7421 0.7421  7 Pt 2.61-2.83
Pt: 0.1039 0.1039 0.1039  3 Ga 2.61, 1 Mg 2.65
Pt: 0.3690 0.3690 0.3690  3 Mg 2.67, 4 Ga 2.70-2.83
Pt: 0.6310 0.6310 0.6310  3 Mg 2.67, 4 Ga 2.70-2.83
Pt: 0.8961 0.8961 0.8961  3 Ga 2.61, 1 Mg 2.65

---

8.
Material: CrFeP
Method: DFT, GGA-PBE
State: relaxed

Properties
Space group: Pnma, No. 62
DOS at the Fermi energy (states/eV per atom): 0.347
Energy of formation (meV/atom): -565

a b c (Å): 5.7451 3.5321 6.5488
angles (deg): 90.00 90.00 90.00
With the nearest neighbours (Å) after each atom.
Sites, in units of the cell vectors:
Cr: 0.0236 0.2500 0.1701  5 P 2.37-2.53
Cr: 0.4764 0.7500 0.6701  5 P 2.37-2.53
Cr: 0.5236 0.2500 0.3299  5 P 2.37-2.53
Cr: 0.9764 0.7500 0.8299  5 P 2.37-2.53
Fe: 0.1441 0.2500 0.5619  4 P 2.18-2.21
Fe: 0.3559 0.7500 0.0619  4 P 2.18-2.21
Fe: 0.6441 0.2500 0.9381  4 P 2.18-2.21
Fe: 0.8559 0.7500 0.4381  4 P 2.18-2.21
P: 0.2348 0.7500 0.3769  4 Fe 2.18-2.21, 1 Cr 2.37
P: 0.2652 0.2500 0.8769  4 Fe 2.18-2.21, 1 Cr 2.37
P: 0.7348 0.7500 0.1231  4 Fe 2.18-2.21, 1 Cr 2.37
P: 0.7652 0.2500 0.6231  4 Fe 2.18-2.21, 1 Cr 2.37